(1)
GGA-PBE Li3Mg10Cd3, optimized geometry; theoretical density = 2867 kg/m³; space group = P-62m (189); energy of formation = -0.044 eV/atom
1.0
5.768 0.000 0.000
0.000 7.229 -4.174
0.000 0.000 8.348
Mg Li Cd
10 3 3
Direct
0.500 0.772 0.000
0.500 0.228 0.228
0.748 0.333 0.667
0.500 0.000 0.772
0.000 0.237 0.000
0.000 0.000 0.237
0.252 0.333 0.667
0.748 0.667 0.333
0.252 0.667 0.333
0.000 0.763 0.763
0.500 0.587 0.587
0.500 0.413 0.000
0.500 0.000 0.413
0.000 0.600 0.000
0.000 0.400 0.400
0.000 0.000 0.600

***

(2)
GGA-PBE ZnRu2, optimized geometry; theoretical density = 9073 kg/m³; space group = Fm-3m (225); energy of formation = 0.894 eV/atom
1.0
-2.434 -3.233 0.697
1.314 -3.086 2.370
-1.639 -0.572 3.722
Zn Ru
1 2
Direct
0.000 0.000 0.000
0.250 0.250 0.250
0.750 0.750 0.750

***

(3)
GGA-PBE AlAuS2, optimized geometry; theoretical density = 5369 kg/m³; space group = C2/c (15); raw formation energy = -0.52 eV per atom
1.0
-0.335 17.629 1.977
-3.121 4.621 -5.211
-6.222 -4.320 0.938
Al S Au
8 16 8
Direct
0.909 0.189 0.544
0.383 0.473 0.126
0.883 0.374 0.027
0.591 0.044 0.689
0.409 0.956 0.311
0.117 0.626 0.973
0.617 0.527 0.874
0.091 0.811 0.456
0.516 0.383 0.746
0.999 0.185 0.390
0.757 0.716 0.754
0.016 0.754 0.117
0.750 0.318 0.818
0.499 0.110 0.315
0.001 0.815 0.610
0.484 0.617 0.254
0.501 0.890 0.685
0.743 0.254 0.216
0.250 0.682 0.182
0.243 0.284 0.246
0.750 0.635 0.135
0.250 0.365 0.865
0.257 0.746 0.784
0.984 0.246 0.883
0.232 0.354 0.541
0.268 0.041 0.854
0.298 0.647 0.533
0.202 0.033 0.147
0.732 0.959 0.146
0.768 0.646 0.459
0.702 0.353 0.467
0.798 0.967 0.853

***

(4)
GGA-PBE MnCoSb, optimized geometry; theoretical density = 8096 kg/m³; space group = Fm-3m (225); raw formation energy = -0.11 eV per atom
1.0
8.177 0.000 0.000
4.089 7.082 0.000
4.089 2.361 6.677
Co Mn Sb
8 8 8
Direct
0.362 0.879 0.879
0.879 0.879 0.362
0.638 0.121 0.121
0.879 0.362 0.879
0.121 0.121 0.638
0.121 0.638 0.121
0.121 0.121 0.121
0.879 0.879 0.879
0.000 0.500 0.500
0.500 0.500 0.500
0.000 0.000 0.500
0.500 0.000 0.500
0.500 0.000 0.000
0.000 0.000 0.000
0.500 0.500 0.000
0.000 0.500 0.000
0.732 0.268 0.268
0.250 0.250 0.250
0.732 0.732 0.268
0.268 0.268 0.732
0.732 0.268 0.732
0.750 0.750 0.750
0.268 0.732 0.732
0.268 0.732 0.268

***

(5)
GGA-PBE LaSc2Tl2Cd2, optimized geometry; theoretical density = 7874 kg/m³; space group = R-3m (166); energy of formation = -0.213 eV/atom
1.0
4.925 0.000 0.000
2.462 4.265 0.000
2.462 1.422 8.660
La Sc Tl Cd
1 2 2 2
Direct
0.000 0.000 0.000
0.139 0.139 0.583
0.861 0.861 0.417
0.264 0.264 0.209
0.736 0.736 0.791
0.441 0.441 0.677
0.559 0.559 0.323

***

(6)
GGA-PBE YInSb2, optimized geometry; theoretical density = 6968 kg/m³; space group = Pmmm (47); raw formation energy = -0.45 eV per atom
1.0
4.964 0.000 0.000
0.000 5.162 0.000
0.000 0.000 4.159
Sb In Y
2 1 1
Direct
0.500 0.500 0.000
0.000 0.000 0.000
0.000 0.500 0.500
0.500 0.000 0.500

***

> Which of these has the lowest theoretical density?

Li3Mg10Cd3

***

> theoretical density of number 6 (YInSb2)?

6968 kg/m³

***

Please write out number 2 again, unchanged.
GGA-PBE ZnRu2, optimized geometry; theoretical density = 9073 kg/m³; space group = Fm-3m (225); energy of formation = 0.894 eV/atom
1.0
-2.434 -3.233 0.697
1.314 -3.086 2.370
-1.639 -0.572 3.722
Zn Ru
1 2
Direct
0.000 0.000 0.000
0.250 0.250 0.250
0.750 0.750 0.750